No. 1
DFT (PBE) results for an optimized crystal structure of Nb2ICl2.

Output
crystal system: tetragonal

The structure in extended XYZ format:
```
10
Lattice="3.9094 0.0000 0.0000 0.0000 3.9094 0.0000 0.0000 0.0000 16.8362" Properties=species:S:1:pos:R:3 pbc="T T T"
Nb 0.0000 1.9547 4.2091
Nb 0.0000 1.9547 12.6272
Nb 1.9547 0.0000 4.2091
Nb 1.9547 0.0000 12.6272
I 0.0000 0.0000 0.0000
I 1.9547 1.9547 8.4181
Cl 0.0000 0.0000 5.8967
Cl 0.0000 0.0000 10.9395
Cl 1.9547 1.9547 2.5214
Cl 1.9547 1.9547 14.3148
```



No. 2
DFT (PBE) results for an optimized crystal structure of NbI4Cl.

Output
crystal system: monoclinic

The structure in extended XYZ format:
```
12
Lattice="9.2190 0.0000 0.0000 0.0000 6.4604 0.0000 -1.1891 0.0000 7.9478" Properties=species:S:1:pos:R:3 pbc="T T T"
Nb 0.0000 0.0000 0.0000
Nb -0.5945 3.2302 3.9739
I 0.3621 1.5735 6.1153
I 0.9566 1.6567 2.1413
I 1.5869 4.7487 4.3195
I 2.1815 4.9420 0.3455
I 5.8484 1.5185 7.6023
I 6.4430 1.7118 3.6284
I 7.0733 4.8037 5.8065
I 7.6678 4.8870 1.8326
Cl 4.6095 0.0000 0.0000
Cl 4.0150 3.2302 3.9739
```



Asked for energy relative to the lowest polymorph listed for this composition across the records above, the calculation gives 0; 16 meV per atom in order.
Asked for formation energy from raw total energies across the records above, the calculation gives -0.14; -0.29 eV per atom in order.
Asked for total energy across the records above, the calculation gives -5.21; -3.31 eV per atom in order.